(1)
BeSiAg2O4 | PBE-GGA | relaxed

Computed properties:
The total energy comes out at -6.05 eV/atom. The value obtained for the total magnetization is 0.0 μB/cell. The formation energy from raw total energies comes out at -1.715 eV per atom.

```
data_BeSiAg2O4
_space_group_name_H-M_alt 'P 1'
_space_group_IT_number 1
_cell_length_a 4.981
_cell_length_b 10.143
_cell_length_c 14.602
_cell_angle_alpha 90.00
_cell_angle_beta 90.00
_cell_angle_gamma 90.00
loop_
_space_group_symop_operation_xyz
'x,y,z'
loop_
_atom_site_label
_atom_site_type_symbol
_atom_site_fract_x
_atom_site_fract_y
_atom_site_fract_z
O1 O 0.099 0.152 0.043
O2 O 0.259 0.806 0.682
O3 O 0.217 0.507 0.401
O4 O 0.761 0.803 0.188
O5 O 0.282 0.493 0.968
O6 O 0.372 0.104 0.300
O7 O 0.761 0.697 0.688
O8 O 0.217 0.993 0.901
O9 O 0.259 0.694 0.182
O10 O 0.628 0.604 0.300
O11 O 0.239 0.197 0.688
O12 O 0.411 0.659 0.831
O13 O 0.589 0.341 0.331
O14 O 0.741 0.306 0.682
O15 O 0.589 0.159 0.831
O16 O 0.718 0.507 0.468
O17 O 0.718 0.993 0.968
O18 O 0.901 0.848 0.543
O19 O 0.783 0.007 0.401
O20 O 0.099 0.348 0.543
O21 O 0.870 0.112 0.566
O22 O 0.783 0.493 0.901
O23 O 0.282 0.007 0.468
O24 O 0.741 0.194 0.182
O25 O 0.130 0.888 0.066
O26 O 0.130 0.612 0.566
O27 O 0.411 0.841 0.331
O28 O 0.372 0.396 0.800
O29 O 0.628 0.896 0.800
O30 O 0.239 0.303 0.188
O31 O 0.901 0.652 0.043
O32 O 0.870 0.388 0.066
Ag1 Ag 0.502 0.761 0.993
Ag2 Ag 0.020 0.495 0.245
Ag3 Ag 0.499 0.508 0.124
Ag4 Ag 0.006 0.258 0.873
Ag5 Ag 0.498 0.239 0.493
Ag6 Ag 0.498 0.261 0.993
Ag7 Ag 0.980 0.995 0.245
Ag8 Ag 0.499 0.992 0.624
Ag9 Ag 0.980 0.505 0.745
Ag10 Ag 0.006 0.242 0.373
Ag11 Ag 0.994 0.742 0.373
Ag12 Ag 0.994 0.758 0.873
Ag13 Ag 0.501 0.008 0.124
Ag14 Ag 0.020 0.005 0.745
Ag15 Ag 0.501 0.492 0.624
Ag16 Ag 0.502 0.739 0.493
Be1 Be 0.965 0.507 0.994
Be2 Be 0.035 0.007 0.994
Be3 Be 0.487 0.261 0.749
Be4 Be 0.035 0.493 0.494
Be5 Be 0.487 0.239 0.249
Be6 Be 0.513 0.739 0.249
Be7 Be 0.965 0.993 0.494
Be8 Be 0.513 0.761 0.749
Si1 Si 0.012 0.758 0.121
Si2 Si 0.536 0.489 0.375
Si3 Si 0.988 0.258 0.121
Si4 Si 0.536 0.011 0.875
Si5 Si 0.464 0.511 0.875
Si6 Si 0.464 0.989 0.375
Si7 Si 0.988 0.242 0.621
Si8 Si 0.012 0.742 0.621
```

(2)
TaBe2Ag2O6 | PBE-GGA | relaxed

Computed properties:
The total energy comes out at -6.70 eV/atom. The value obtained for the total magnetization is 1.0 μB/cell. The formation energy from raw total energies comes out at -1.718 eV per atom.

```
data_TaBe2Ag2O6
_space_group_name_H-M_alt 'P 1'
_space_group_IT_number 1
_cell_length_a 5.265
_cell_length_b 5.265
_cell_length_c 5.773
_cell_angle_alpha 90.00
_cell_angle_beta 90.00
_cell_angle_gamma 120.00
loop_
_space_group_symop_operation_xyz
'x,y,z'
loop_
_atom_site_label
_atom_site_type_symbol
_atom_site_fract_x
_atom_site_fract_y
_atom_site_fract_z
O1 O 0.084 0.740 0.799
O2 O 0.656 0.916 0.799
O3 O 0.344 0.084 0.201
O4 O 0.740 0.656 0.201
O5 O 0.916 0.260 0.201
O6 O 0.260 0.344 0.799
Ag1 Ag 0.333 0.667 0.320
Ag2 Ag 0.667 0.333 0.680
Ta1 Ta 0.000 0.000 0.000
Be1 Be 0.667 0.333 0.196
Be2 Be 0.333 0.667 0.804
```

(3)
BeAg2TeO4 | PBE-GGA | relaxed

Computed properties:
The total energy comes out at -5.04 eV/atom. The value obtained for the total magnetization is 0.0 μB/cell. The formation energy from raw total energies comes out at -0.987 eV per atom.

```
data_BeAg2TeO4
_space_group_name_H-M_alt 'P 1'
_space_group_IT_number 1
_cell_length_a 5.319
_cell_length_b 5.401
_cell_length_c 5.084
_cell_angle_alpha 121.99
_cell_angle_beta 122.03
_cell_angle_gamma 78.39
loop_
_space_group_symop_operation_xyz
'x,y,z'
loop_
_atom_site_label
_atom_site_type_symbol
_atom_site_fract_x
_atom_site_fract_y
_atom_site_fract_z
Te1 Te 0.044 0.430 0.967
Be1 Be 0.725 0.750 0.474
O1 O 0.738 0.512 0.598
O2 O 0.974 0.718 0.353
O3 O 0.381 0.712 0.141
O4 O 0.774 0.094 0.813
Ag1 Ag 0.258 0.196 0.461
Ag2 Ag 0.492 0.976 0.967
```